# 1
Entry from Alexandria: an optimized crystal structure of Mg2AgSb (PBE).

The structure in CIF format:
```
data_Mg2AgSb
_chemical_formula_sum 'Mg4 Ag2 Sb2'
_cell_length_a 5.909
_cell_length_b 5.909
_cell_length_c 8.427
_cell_angle_alpha 69.47
_cell_angle_beta 69.47
_cell_angle_gamma 90.00
_symmetry_space_group_name_H-M 'P 1'
_symmetry_Int_Tables_number 1
_symmetry_space_group_name_Hall 'P 1'
loop_
_atom_site_label
_atom_site_fract_x
_atom_site_fract_y
_atom_site_fract_z
Mg1 0.375 0.375 0.750
Mg2 0.875 0.875 0.750
Mg3 0.125 0.625 0.250
Mg4 0.625 0.125 0.250
Sb1 0.000 0.000 0.000
Sb2 0.750 0.250 0.500
Ag1 0.500 0.500 0.000
Ag2 0.250 0.750 0.500
```

## Properties
- polymorph energy (0 for the lowest one) (eV/atom) = 0.331
- uncorrected energy (eV/atom) = -2.401
- calculated volume (Å³ per atom) = 31.9
- space group = I-42d, No. 122
- N(E_F) (states/eV per cell) = 0.0
- formation energy (no corrections) (eV/atom) = 0.1392

=====

# 2
Entry from Alexandria: an optimized crystal structure of Er3Sc4Bi4 (PBE).

The structure in CIF format:
```
data_Er3Sc4Bi4
_chemical_formula_sum 'Er3 Sc4 Bi4'
_cell_length_a 4.190
_cell_length_b 9.113
_cell_length_c 9.348
_cell_angle_alpha 119.17
_cell_angle_beta 102.95
_cell_angle_gamma 90.00
_symmetry_space_group_name_H-M 'P 1'
_symmetry_Int_Tables_number 1
_symmetry_space_group_name_Hall 'P 1'
loop_
_atom_site_label
_atom_site_fract_x
_atom_site_fract_y
_atom_site_fract_z
Bi1 0.500 0.209 0.000
Bi2 0.770 0.270 0.541
Bi3 0.230 0.730 0.459
Bi4 0.500 0.791 0.000
Sc1 0.677 0.472 0.353
Sc2 0.323 0.528 0.647
Sc3 0.677 0.881 0.353
Sc4 0.323 0.119 0.647
Er1 0.116 0.116 0.233
Er2 0.884 0.884 0.767
Er3 0.000 0.500 0.000
```

## Properties
- uncorrected energy (eV/atom) = -5.472
- calculated volume (Å³ per atom) = 27.4
- space group = Immm, No. 71
- N(E_F) (states/eV per cell) = 10.2
- energy of formation from the pure elements (eV/atom) = -0.514

=====

# 3
Entry from Alexandria: an optimized crystal structure of Sm2HgBr (PBE).

The structure in CIF format:
```
data_Sm2HgBr
_chemical_formula_sum 'Sm2 Hg1 Br1'
_cell_length_a 4.293
_cell_length_b 4.293
_cell_length_c 7.674
_cell_angle_alpha 73.75
_cell_angle_beta 73.75
_cell_angle_gamma 60.00
_symmetry_space_group_name_H-M 'P 1'
_symmetry_Int_Tables_number 1
_symmetry_space_group_name_Hall 'P 1'
loop_
_atom_site_label
_atom_site_fract_x
_atom_site_fract_y
_atom_site_fract_z
Br1 0.500 0.500 0.500
Sm1 0.749 0.749 0.752
Sm2 0.251 0.251 0.248
Hg1 0.000 0.000 0.000
```

## Properties
- polymorph energy (0 for the lowest one) (eV/atom) = 0.016
- uncorrected energy (eV/atom) = -3.595
- calculated volume (Å³ per atom) = 29.0
- space group = R-3m, No. 166
- N(E_F) (states/eV per cell) = 3.2
- formation energy (no corrections) (eV/atom) = -0.7415

=====

# 4
Entry from Alexandria: an optimized crystal structure of TiAu2I8 (PBE).

The structure in CIF format:
```
data_TiAu2I8
_chemical_formula_sum 'Ti1 Au2 I8'
_cell_length_a 7.765
_cell_length_b 8.060
_cell_length_c 8.060
_cell_angle_alpha 75.31
_cell_angle_beta 94.66
_cell_angle_gamma 94.66
_symmetry_space_group_name_H-M 'P 1'
_symmetry_Int_Tables_number 1
_symmetry_space_group_name_Hall 'P 1'
loop_
_atom_site_label
_atom_site_fract_x
_atom_site_fract_y
_atom_site_fract_z
I1 0.783 0.870 0.275
I2 0.734 0.417 0.417
I3 0.799 0.814 0.814
I4 0.266 0.583 0.583
I5 0.201 0.186 0.186
I6 0.217 0.130 0.725
I7 0.217 0.725 0.130
I8 0.783 0.275 0.870
Au1 0.202 0.778 0.778
Au2 0.798 0.222 0.222
Ti1 0.000 0.000 0.000
```

## Properties
- uncorrected energy (eV/atom) = -2.685
- calculated volume (Å³ per atom) = 44.1
- space group = C2/m, No. 12
- N(E_F) (states/eV per cell) = 5.9
- formation energy (no corrections) (eV/atom) = -0.2444